# Rb2PuMgF6 PBE optimized geometry
data_Rb2PuMgF6
_chemical_formula_sum 'Rb4 Pu2 Mg2 F12'
_cell_length_a 6.221
_cell_length_b 8.822
_cell_length_c 6.496
_cell_angle_alpha 90.00
_cell_angle_beta 90.00
_cell_angle_gamma 90.00
_symmetry_space_group_name_H-M 'P m m n'
_symmetry_Int_Tables_number 59
loop_
_symmetry_equiv_pos_as_xyz
'x,y,z'
'-x,-y,-z'
'-x+1/2,-y+1/2,z'
'x+1/2,y+1/2,-z'
'x+1/2,-y,-z'
'-x+1/2,y,z'
'-x,y+1/2,-z'
'x,-y+1/2,z'
loop_
_atom_site_label
_atom_site_type_symbol
_atom_site_fract_x
_atom_site_fract_y
_atom_site_fract_z
_atom_site_occupancy
Rb1 Rb 0.250 0.007 0.218 1
Pu1 Pu 0.250 0.250 0.707 1
Mg1 Mg 0.250 0.750 0.770 1
F1 F 0.015 0.750 0.991 1
F2 F 0.021 0.750 0.546 1
F3 F 0.250 0.519 0.777 1
# energy	-5.968	eV per atom
# formation energy without anion corrections	-30.6	eV per formula unit
# size of the total moment	11.84	Bohr magnetons per cell



# ScVSb2Te PBE optimized geometry
data_ScVSb2Te
_chemical_formula_sum 'Sc1 V1 Sb2 Te1'
_cell_length_a 5.034
_cell_length_b 5.034
_cell_length_c 5.533
_cell_angle_alpha 90.00
_cell_angle_beta 90.00
_cell_angle_gamma 90.00
_symmetry_space_group_name_H-M 'P 4/m m m'
_symmetry_Int_Tables_number 123
_symmetry_space_group_name_Hall '-P 4 2'
loop_
_atom_site_label
_atom_site_type_symbol
_atom_site_fract_x
_atom_site_fract_y
_atom_site_fract_z
_atom_site_occupancy
Sc1 Sc 0.000 0.000 0.000 1
V1 V 0.500 0.500 0.500 1
Sb1 Sb 0.000 0.500 0.500 1
Te1 Te 0.500 0.500 0.000 1
# energy	-5.143	eV per atom
# formation energy without anion corrections	1.1	eV per formula unit
# size of the total moment	1.16	Bohr magnetons per cell



# ErTc4Ge2 PBE optimized geometry
data_ErTc4Ge2
_chemical_formula_sum 'Er2 Tc8 Ge4'
_cell_length_a 4.125
_cell_length_b 14.291
_cell_length_c 4.082
_cell_angle_alpha 90.00
_cell_angle_beta 90.00
_cell_angle_gamma 90.00
_symmetry_space_group_name_H-M 'C m m m'
_symmetry_Int_Tables_number 65
_symmetry_space_group_name_Hall '-C 2 2'
loop_
_atom_site_label
_atom_site_type_symbol
_atom_site_fract_x
_atom_site_fract_y
_atom_site_fract_z
_atom_site_occupancy
Er1 Er 0.000 0.000 0.000 1
Tc1 Tc 0.000 0.192 0.500 1
Tc2 Tc 0.000 0.303 0.000 1
Ge1 Ge 0.000 0.413 0.500 1
# energy	-8.273	eV per atom
# size of the total moment	0.00	Bohr magnetons per cell
# formation energy from the elements	-378.0	meV/atom



# Sr3ScSn PBE optimized geometry
data_Sr3ScSn
_chemical_formula_sum 'Sr3 Sc1 Sn1'
_cell_length_a 6.165
_cell_length_b 6.165
_cell_length_c 6.165
_cell_angle_alpha 90.00
_cell_angle_beta 90.00
_cell_angle_gamma 90.00
_symmetry_space_group_name_H-M 'P m -3 m'
_symmetry_Int_Tables_number 221
_symmetry_space_group_name_Hall '-P 4 2 3'
loop_
_atom_site_label
_atom_site_type_symbol
_atom_site_fract_x
_atom_site_fract_y
_atom_site_fract_z
_atom_site_occupancy
Sr1 Sr 0.000 0.000 0.500 1
Sc1 Sc 0.000 0.000 0.000 1
Sn1 Sn 0.500 0.500 0.500 1
# energy	-2.441	eV per atom
# size of the total moment	2.88	Bohr magnetons per cell
# formation energy from the elements	635.1	meV/atom



# ThNiSnH PBE optimized geometry
data_ThNiSnH
_chemical_formula_sum 'Th1 Ni1 Sn1 H1'
_cell_length_a 4.3959
_cell_length_b 4.3959
_cell_length_c 4.2304
_cell_angle_alpha 90.00
_cell_angle_beta 90.00
_cell_angle_gamma 120.00
_symmetry_space_group_name_H-M 'P 3 m 1'
_symmetry_Int_Tables_number 156
loop_
_symmetry_equiv_pos_as_xyz
'x,y,z'
'-y,x-y,z'
'-x+y,-x,z'
'-y,-x,z'
'-x+y,y,z'
'x,x-y,z'
loop_
_atom_site_label
_atom_site_type_symbol
_atom_site_fract_x
_atom_site_fract_y
_atom_site_fract_z
_atom_site_occupancy
Th1 Th 0.0000 0.0000 0.0000 1
Ni1 Ni 0.6667 0.3333 0.6007 1
Sn1 Sn 0.3333 0.6667 0.4923 1
H1 H 0.6667 0.3333 0.9788 1
# energy	-5.733	eV per atom
# size of the total moment	0.00	Bohr magnetons per cell



# BaY3 PBE optimized geometry
data_BaY3
_chemical_formula_sum 'Ba2 Y6'
_cell_length_a 7.6326
_cell_length_b 7.6326
_cell_length_c 5.9029
_cell_angle_alpha 90.00
_cell_angle_beta 90.00
_cell_angle_gamma 120.00
_symmetry_space_group_name_H-M 'P 63/m m c'
_symmetry_Int_Tables_number 194
_symmetry_space_group_name_Hall '-P 6c 2c'
loop_
_atom_site_label
_atom_site_type_symbol
_atom_site_fract_x
_atom_site_fract_y
_atom_site_fract_z
_atom_site_occupancy
Ba1 Ba 0.3333 0.6667 0.2500 1
Y1 Y 0.1584 0.3168 0.7500 1
# energy	-5.112	eV per atom
# size of the total moment	0.04	Bohr magnetons per cell
# formation energy from the elements	216.5	meV/atom



# Ta4Si6Os7 PBE optimized geometry
data_Ta4Si6Os7
_chemical_formula_sum 'Ta8 Si12 Os14'
_cell_length_a 7.960
_cell_length_b 7.960
_cell_length_c 7.960
_cell_angle_alpha 90.00
_cell_angle_beta 90.00
_cell_angle_gamma 90.00
_symmetry_space_group_name_H-M 'I m -3 m'
_symmetry_Int_Tables_number 229
_symmetry_space_group_name_Hall '-I 4 2 3'
loop_
_atom_site_label
_atom_site_type_symbol
_atom_site_fract_x
_atom_site_fract_y
_atom_site_fract_z
_atom_site_occupancy
Ta1 Ta 0.250 0.250 0.250 1
Si1 Si 0.000 0.000 0.310 1
Os1 Os 0.000 0.000 0.000 1
Os2 Os 0.000 0.250 0.500 1
# energy	-9.699	eV per atom
# formation energy without anion corrections	-6.3	eV per formula unit
# size of the total moment	0.00	Bohr magnetons per cell



# UTc3C PBE optimized geometry
data_UTc3C
_chemical_formula_sum 'U1 Tc3 C1'
_cell_length_a 4.175
_cell_length_b 4.175
_cell_length_c 4.175
_cell_angle_alpha 90.00
_cell_angle_beta 90.00
_cell_angle_gamma 90.00
_symmetry_space_group_name_H-M 'P m -3 m'
_symmetry_Int_Tables_number 221
_symmetry_space_group_name_Hall '-P 4 2 3'
loop_
_atom_site_label
_atom_site_type_symbol
_atom_site_fract_x
_atom_site_fract_y
_atom_site_fract_z
_atom_site_occupancy
U1 U 0.000 0.000 0.000 1
Tc1 Tc 0.000 0.500 0.500 1
C1 C 0.500 0.500 0.500 1
# energy	-10.505	eV per atom
# size of the total moment	0.00	Bohr magnetons per cell
# formation energy from the elements	-182.6	meV/atom



# HfZn8Cu4 PBE optimized geometry
data_HfZn8Cu4
_chemical_formula_sum 'Hf2 Zn16 Cu8'
_cell_length_a 8.681
_cell_length_b 8.681
_cell_length_c 4.907
_cell_angle_alpha 90.00
_cell_angle_beta 90.00
_cell_angle_gamma 90.00
_symmetry_space_group_name_H-M 'I 4/m m m'
_symmetry_Int_Tables_number 139
_symmetry_space_group_name_Hall '-I 4 2'
loop_
_atom_site_label
_atom_site_type_symbol
_atom_site_fract_x
_atom_site_fract_y
_atom_site_fract_z
_atom_site_occupancy
Hf1 Hf 0.000 0.000 0.000 1
Zn1 Zn 0.000 0.213 0.500 1
Zn2 Zn 0.000 0.344 0.000 1
Cu1 Cu 0.250 0.250 0.250 1
# energy	-2.940	eV per atom
# size of the total moment	0.00	Bohr magnetons per cell
# formation energy from the elements	-130.0	meV/atom



# CaSCl6 PBE optimized geometry
data_CaSCl6
_chemical_formula_sum 'Ca3 S3 Cl18'
_cell_length_a 6.3818
_cell_length_b 6.3818
_cell_length_c 17.4293
_cell_angle_alpha 90.00
_cell_angle_beta 90.00
_cell_angle_gamma 120.00
_symmetry_space_group_name_H-M 'R -3'
_symmetry_Int_Tables_number 148
_symmetry_space_group_name_Hall '-R 3'
loop_
_atom_site_label
_atom_site_type_symbol
_atom_site_fract_x
_atom_site_fract_y
_atom_site_fract_z
_atom_site_occupancy
Ca1 Ca 0.0000 0.0000 0.0000 1
S1 S 0.0000 0.0000 0.5000 1
Cl1 Cl 0.0189 0.7091 0.4232 1
# energy	-2.992	eV per atom
# formation energy without anion corrections	-6.7	eV per formula unit
# size of the total moment	0.00	Bohr magnetons per cell



# TbPuMn2 PBE optimized geometry
data_TbPuMn2
_chemical_formula_sum 'Tb1 Pu1 Mn2'
_cell_length_a 4.893
_cell_length_b 4.893
_cell_length_c 3.364
_cell_angle_alpha 90.00
_cell_angle_beta 90.00
_cell_angle_gamma 90.00
_symmetry_space_group_name_H-M 'P 4/m m m'
_symmetry_Int_Tables_number 123
_symmetry_space_group_name_Hall '-P 4 2'
loop_
_atom_site_label
_atom_site_type_symbol
_atom_site_fract_x
_atom_site_fract_y
_atom_site_fract_z
_atom_site_occupancy
Tb1 Tb 0.000 0.000 0.000 1
Pu1 Pu 0.500 0.500 0.000 1
Mn1 Mn 0.000 0.500 0.500 1
# energy	-9.184	eV per atom
# size of the total moment	0.16	Bohr magnetons per cell
# formation energy from the elements	141.2	meV/atom



# CeGa2Pt6 PBE optimized geometry
data_CeGa2Pt6
_chemical_formula_sum 'Ce1 Ga2 Pt6'
_cell_length_a 4.7835
_cell_length_b 4.7835
_cell_length_c 9.0257
_cell_angle_alpha 90.00
_cell_angle_beta 90.00
_cell_angle_gamma 120.00
_symmetry_space_group_name_H-M 'P -3 1 m'
_symmetry_Int_Tables_number 162
_symmetry_space_group_name_Hall '-P 3 2'
loop_
_atom_site_label
_atom_site_type_symbol
_atom_site_fract_x
_atom_site_fract_y
_atom_site_fract_z
_atom_site_occupancy
Ce1 Ce 0.0000 0.0000 0.0000 1
Ga1 Ga 0.3333 0.6667 0.5000 1
Pt1 Pt 0.0000 0.3406 0.7408 1
# energy	-5.832	eV per atom
# size of the total moment	0.35	Bohr magnetons per cell
# formation energy from the elements	-473.0	meV/atom



Copy entry 6 word for word.
# BaY3 PBE optimized geometry
data_BaY3
_chemical_formula_sum 'Ba2 Y6'
_cell_length_a 7.6326
_cell_length_b 7.6326
_cell_length_c 5.9029
_cell_angle_alpha 90.00
_cell_angle_beta 90.00
_cell_angle_gamma 120.00
_symmetry_space_group_name_H-M 'P 63/m m c'
_symmetry_Int_Tables_number 194
_symmetry_space_group_name_Hall '-P 6c 2c'
loop_
_atom_site_label
_atom_site_type_symbol
_atom_site_fract_x
_atom_site_fract_y
_atom_site_fract_z
_atom_site_occupancy
Ba1 Ba 0.3333 0.6667 0.2500 1
Y1 Y 0.1584 0.3168 0.7500 1
# energy	-5.112	eV per atom
# size of the total moment	0.04	Bohr magnetons per cell
# formation energy from the elements	216.5	meV/atom